No. 1
The following is a DFT calculation (PBE-GGA) of a relaxed structure of Tb2SeS.

Computed properties:
Formation energy (no corrections), kJ/mol of formula units: -736.1
Offset from the most stable computed form, eV/f.u.: 0.00
DOS(E_F), states/eV/cell: 0.7
DFT total energy, eV per cell: -24.5
Symmetry: R3m (160)

```
4
Lattice="1.961 1.132 6.917 -1.961 1.132 6.917 0.000 -2.264 6.917" Properties=species:S:1:pos:R:3 pbc="T T T"
Tb 0.000 0.000 0.000
Tb 0.000 0.000 3.834
Se 0.000 0.000 15.771
S 0.000 0.000 12.254
```


No. 2
The following is a DFT calculation (PBE-GGA) of a relaxed structure of Tb2SeS2.

Computed properties:
Formation energy (no corrections), kJ/mol of formula units: -976.9
Offset from the most stable computed form, eV/f.u.: 0.00
DOS(E_F), states/eV/cell: 0.0
DFT total energy, eV per cell: -31.1
Symmetry: Immm (71)

```
5
Lattice="-2.033 2.704 6.440 2.033 -2.704 6.440 2.033 2.704 -6.440" Properties=species:S:1:pos:R:3 pbc="T T T"
Tb 0.000 0.000 2.063
Tb 0.000 0.000 10.818
Se 2.033 0.000 0.000
S 2.033 0.000 3.896
S 0.000 2.704 2.544
```